The following is a DFT calculation (PBE) of an optimized crystal structure of Pt2PbAu.

Computed properties:
- Calculated total energy: -4.73 eV per atom
- D(E_F): 0.6110 states/eV per atom

The structure in POSCAR format:
```
Pt2PbAu
1.0
4.156 0.000 0.000
0.000 4.216 0.000
0.000 0.000 4.216
Pb Au Pt
1 1 2
direct
0.500 0.000 0.000
0.500 0.500 0.500
0.000 0.500 0.000
0.000 0.000 0.500
```

The following is a DFT calculation (PBE) of an optimized crystal structure of PtPb2Au.

Computed properties:
- Calculated total energy: -4.22 eV per atom
- D(E_F): 0.3951 states/eV per atom
- Offset from the most stable computed form: 82 meV per atom

The structure in POSCAR format:
```
PtPb2Au
1.0
-0.014 0.988 3.385
-0.837 -3.260 0.948
6.392 -5.110 1.517
Pt Pb Au
1 2 1
direct
0.500 0.250 0.250
0.000 0.513 0.481
0.000 0.987 0.019
0.500 0.750 0.750
```